[1]
A plane-wave DFT calculation with GGA-PBE was carried out for LiSe2Cl after structural relaxation.

As for the formation energy from raw total energies: 8.50 kJ/mol of atoms. As for the energy relative to the lowest polymorph listed for this composition: 82.69 kJ per mole of atoms. Its total magnetization is 0.0 μB/cell.

```
LiSe2Cl
1.0
1.473 0.851 12.187
-1.473 0.851 12.187
0.000 -1.701 12.187
Li Se Cl
1 2 1
Cartesian
0.000 0.000 0.000
0.000 0.000 2.388
0.000 0.000 34.174
0.000 0.000 18.281
```


[2]
A plane-wave DFT calculation with GGA-PBE was carried out for Pu2HgMo after structural relaxation.

Its formation enthalpy at 0 K is 35.1 kJ/mol of atoms. As for the energy relative to the lowest polymorph listed for this composition: 24.86 kJ per mole of atoms. Its total magnetization is 10.5 μB/cell.

```
Pu2HgMo
1.0
1.606 0.927 10.858
-1.606 0.927 10.858
0.000 -1.855 10.858
Pu Hg Mo
2 1 1
Cartesian
0.000 0.000 3.217
0.000 0.000 29.359
0.000 0.000 0.000
0.000 0.000 16.288
```


[3]
A plane-wave DFT calculation with GGA-PBE was carried out for Fe4CuOs after structural relaxation.

Its formation enthalpy at 0 K is 24.2 kJ/mol of atoms. Its total magnetization is 8.3 μB/cell.

```
Fe4CuOs
1.0
0.000 3.305 3.305
3.305 0.000 3.305
3.305 3.305 0.000
Fe Cu Os
4 1 1
Cartesian
0.826 0.826 0.826
2.480 2.480 0.826
2.480 0.826 2.480
0.826 2.480 2.480
4.958 4.958 4.958
3.305 3.305 3.305
```


[4]
A plane-wave DFT calculation with GGA-PBE was carried out for Ta2TiPd after structural relaxation.

Its formation enthalpy at 0 K is -3.4 kJ/mol of atoms. As for the energy relative to the lowest polymorph listed for this composition: 17.75 kJ per mole of atoms. Its total magnetization is 0.0 μB/cell.

```
Ta2TiPd
1.0
1.464 0.845 9.354
-1.464 0.845 9.354
0.000 -1.691 9.354
Ta Ti Pd
2 1 1
Cartesian
0.000 0.000 0.000
0.000 0.000 4.765
0.000 0.000 11.723
0.000 0.000 16.434
```


Asked for V across the records above, the calculation gives 91.6 97.0 72.2 69.5 Å³/f.u. in order.
Asked for uncorrected energy across the records above, the calculation gives -0.0953 -0.3523 -0.2920 -0.3393 hartree per atom in order.